No. 1
Compound: Pr12Tl3Au
Source: Alexandria via LeMat-Bulk
Functional: GGA-PBE
Structure: optimized geometry

Summary:
**DFT formation energy**: -0.215 eV/atom

Cell: 5.0181 5.0181 19.8766 Å, 90.00 90.00 90.00°
Last column: nearest neighbours and their distance in Å.
Space group P4/mmm (No. 123)
Symmetry-distinct sites (fractional):
Pr: 0.0000 0.0000 0.0000 [1 per cell]  8 Pr 3.45, 4 Au 3.55
Pr: 0.0000 0.0000 0.2447 [2 per cell]  8 Pr 3.54-3.57, 4 Tl 3.55
Pr: 0.0000 0.0000 0.5000 [1 per cell]  4 Tl 3.55, 8 Pr 3.56
Pr: 0.0000 0.5000 0.1190 [4 per cell]  2 Au 3.45, 8 Pr 3.45-3.55, 2 Tl 3.56
Pr: 0.0000 0.5000 0.3728 [4 per cell]  8 Pr 3.55-3.57, 4 Tl 3.56
Tl: 0.5000 0.5000 0.2458 [2 per cell]  12 Pr 3.55-3.56
Tl: 0.5000 0.5000 0.5000 [1 per cell]  12 Pr 3.55-3.56
Au: 0.5000 0.5000 0.0000 [1 per cell]  12 Pr 3.45-3.55



No. 2
Compound: Fe3Pt
Source: Alexandria via LeMat-Bulk
Functional: GGA-PBE
Structure: optimized geometry

Summary:
**DFT formation energy**: -0.078 eV/atom

Cell: 3.7439 3.7439 3.7439 Å, 90.00 90.00 90.00°
Last column: nearest neighbours and their distance in Å.
Space group Pm-3m (No. 221)
Symmetry-distinct sites (fractional):
Fe: 0.0000 0.0000 0.5000 [3 per cell]  8 Fe 2.65, 4 Pt 2.65
Pt: 0.5000 0.5000 0.5000 [1 per cell]  12 Fe 2.65



No. 3
Compound: Tb5NdDy8
Source: Alexandria via LeMat-Bulk
Functional: GGA-PBE
Structure: optimized geometry

Summary:
**DFT formation energy**: 0.244 eV/atom

Cell: 9.4983 9.4983 10.2110 Å, 90.00 90.00 90.00°
Last column: nearest neighbours and their distance in Å.
Space group I-4 (No. 82)
Symmetry-distinct sites (fractional):
Tb: 0.0000 0.0000 0.0000 [2 per cell]  8 Dy 3.13-3.31
Tb: 0.1118 0.7899 0.5737 [8 per cell]  8 Dy 3.36-3.54, 2 Tb 3.53
Nd: 0.0000 0.5000 0.2500 [2 per cell]  4 Dy 3.21
Dy: 0.0713 0.6770 0.8984 [8 per cell]  5 Tb 3.31-3.52, 3 Dy 3.56-3.63
Dy: 0.0868 0.8261 0.2470 [8 per cell]  4 Tb 3.13-3.48, 1 Nd 3.21



No. 4
Compound: YAgSn
Source: Alexandria via LeMat-Bulk
Functional: GGA-PBE
Structure: optimized geometry

Summary:
**DFT formation energy**: -0.446 eV/atom

Cell: 4.3818 10.8024 6.1332 Å, 90.00 90.00 90.00°
Last column: nearest neighbours and their distance in Å.
Space group Cmcm (No. 63)
Symmetry-distinct sites (fractional):
Y: 0.0000 0.1913 0.2500 [4 per cell]  5 Sn 3.08-3.24, 4 Ag 3.38
Ag: 0.0000 0.5000 0.0000 [4 per cell]  4 Sn 2.92, 2 Ag 3.07
Sn: 0.0000 0.1084 0.7500 [4 per cell]  4 Ag 2.92, 5 Y 3.08-3.24



No. 5
Compound: LaCr2Se
Source: Alexandria via LeMat-Bulk
Functional: GGA-PBE
Structure: optimized geometry

Summary:
**Formation energy from raw total energies**: -1.2 eV per formula unit

Cell: 4.1288 4.1288 16.4303 Å, 90.00 90.00 120.00°
Last column: nearest neighbours and their distance in Å.
Space group R3m (No. 160, hexagonal axes)
Symmetry-distinct sites (fractional):
La: 0.0000 0.0000 0.0000 [3 per cell]  4 Se 3.12-3.47, 4 Cr 3.22-3.32
Cr: 0.0000 0.0000 0.4897 [3 per cell]  3 Cr 2.42, 3 Se 2.55
Cr: 0.0000 0.0000 0.7981 [3 per cell]  3 Cr 2.42
Se: 0.0000 0.0000 0.2113 [3 per cell]  6 Cr 2.55-2.72



No. 6
Compound: Eu2AlSn
Source: Alexandria via LeMat-Bulk
Functional: GGA-PBE
Structure: optimized geometry

Summary:
**Polymorph energy (0 for the lowest one)**: 9 meV/atom
**DFT formation energy**: -0.425 eV/atom

Cell: 7.7160 7.7160 7.7160 Å, 90.00 90.00 90.00°
Last column: nearest neighbours and their distance in Å.
Space group Fm-3m (No. 225)
Symmetry-distinct sites (fractional):
Eu: 0.2500 0.2500 0.2500 [8 per cell]  4 Al 3.34, 4 Sn 3.34
Al: 0.0000 0.0000 0.0000 [4 per cell]  8 Eu 3.34
Sn: 0.0000 0.0000 0.5000 [4 per cell]  8 Eu 3.34



No. 7
Compound: Li2CdCl
Source: Alexandria via LeMat-Bulk
Functional: GGA-PBE
Structure: optimized geometry

Summary:
**Polymorph energy (0 for the lowest one)**: 387 meV/atom
**Formation energy from raw total energies**: -1.9 eV per formula unit

Cell: 7.0227 7.0227 7.0227 Å, 90.00 90.00 90.00°
Last column: nearest neighbours and their distance in Å.
Space group Fm-3m (No. 225)
Symmetry-distinct sites (fractional):
Li: 0.2500 0.2500 0.2500 [8 per cell]  4 Cd 3.04, 4 Cl 3.04
Cd: 0.0000 0.0000 0.0000 [4 per cell]  8 Li 3.04
Cl: 0.0000 0.0000 0.5000 [4 per cell]  8 Li 3.04



No. 8
Compound: Pm2DyScAs4
Source: Alexandria via LeMat-Bulk
Functional: GGA-PBE
Structure: optimized geometry

Summary:
**DFT formation energy**: -1.467 eV/atom

Cell: 7.1329 4.1311 7.1450 Å, 90.00 109.52 90.00°
Last column: nearest neighbours and their distance in Å.
Space group P2/m (No. 10)
Symmetry-distinct sites (fractional):
Pm: 0.0000 0.0000 0.0000 [1 per cell]  6 As 2.95
Pm: 0.0000 0.5000 0.5000 [1 per cell]  6 As 3.00
Dy: 0.5000 0.0000 0.5000 [1 per cell]  6 As 2.89
Sc: 0.5000 0.5000 0.0000 [1 per cell]  6 As 2.83
As: 0.2622 0.5000 0.2478 [2 per cell]  1 Sc 2.83, 2 Dy 2.89, 3 Pm 2.95-3.00
As: 0.2669 0.0000 0.7619 [2 per cell]  2 Sc 2.83, 1 Dy 2.89, 3 Pm 2.95-3.00



no.,final energy (eV/atom)
1,-4.448
2,-7.935
3,-4.380
4,-4.885
5,-7.203
6,-7.498
7,-2.133
8,-6.346